[1]
## Rb5ZrSe4 (GGA-PBE)

Data for Rb5ZrSe4 after structural relaxation. Values from VASP.

Values from the calculation:
The volume comes out at 908.00 Å³/cell. Its energy above the most stable polymorph in this dataset is 0.0000 eV per atom.

Cell and atoms, written as Quantum ESPRESSO input:
```
&SYSTEM
  ibrav = 0, nat = 20, ntyp = 3
/
ATOMIC_SPECIES
Rb 85.47 Rb.upf
Zr 91.22 Zr.upf
Se 78.96 Se.upf
CELL_PARAMETERS angstrom
-9.285 -3.241 2.456
2.754 -2.385 7.264
-2.367 9.930 4.157
ATOMIC_POSITIONS crystal
Rb 0.252 0.733 0.187
Rb 0.748 0.733 0.187
Rb 0.500 0.152 0.000
Rb 0.252 0.733 0.813
Rb 0.748 0.733 0.813
Rb 0.248 0.267 0.687
Rb 0.752 0.267 0.687
Rb 0.000 0.848 0.500
Rb 0.752 0.267 0.313
Rb 0.248 0.267 0.313
Zr 0.000 0.196 0.000
Zr 0.500 0.804 0.500
Se 0.000 0.020 0.194
Se 0.208 0.377 0.000
Se 0.792 0.377 0.000
Se 0.000 0.020 0.806
Se 0.500 0.980 0.694
Se 0.292 0.623 0.500
Se 0.708 0.623 0.500
Se 0.500 0.980 0.306
```

***

[2]
## NaGa2Au (GGA-PBE)

Data for NaGa2Au after structural relaxation. Values from VASP.

Values from the calculation:
The volume comes out at 76.21 Å³/cell. The calculation puts the energy of formation at -0.52 eV per formula unit.

Cell and atoms, written as Quantum ESPRESSO input:
```
&SYSTEM
  ibrav = 0, nat = 4, ntyp = 3
/
ATOMIC_SPECIES
Na 22.99 Na.upf
Au 196.97 Au.upf
Ga 69.72 Ga.upf
CELL_PARAMETERS angstrom
4.385 0.000 0.000
0.000 4.169 0.000
0.000 0.000 4.169
ATOMIC_POSITIONS crystal
Na 0.500 0.500 0.500
Au 0.500 0.000 0.000
Ga 0.000 0.000 0.500
Ga 0.000 0.500 0.000
```

***

[3]
## Ta2Ti2Os (GGA-PBE)

Data for Ta2Ti2Os after structural relaxation. Values from VASP.

Values from the calculation:
The volume comes out at 179.39 Å³/cell. Its energy above the most stable polymorph in this dataset is 0.1056 eV per atom. The calculation puts the energy of formation at 0.36 eV per formula unit.

Cell and atoms, written as Quantum ESPRESSO input:
```
&SYSTEM
  ibrav = 0, nat = 10, ntyp = 3
/
ATOMIC_SPECIES
Ta 180.95 Ta.upf
Ti 47.87 Ti.upf
Os 190.23 Os.upf
CELL_PARAMETERS angstrom
4.965 -0.125 -1.094
-2.192 4.456 -1.094
0.365 0.570 7.923
ATOMIC_POSITIONS crystal
Ta 0.761 0.761 0.483
Ta 0.195 0.195 0.869
Ta 0.805 0.805 0.131
Ta 0.239 0.239 0.517
Ti 0.202 0.560 0.281
Ti 0.798 0.440 0.719
Ti 0.560 0.202 0.281
Ti 0.440 0.798 0.719
Os 0.244 0.756 0.000
Os 0.756 0.244 0.000
```

***

[4]
## SrBr (GGA-PBE)

Data for SrBr after structural relaxation. Values from VASP.

Values from the calculation:
As for the total energy: -0.2321 Ry per atom. The volume comes out at 180.60 Å³/cell.

Cell and atoms, written as Quantum ESPRESSO input:
```
&SYSTEM
  ibrav = 0, nat = 4, ntyp = 2
/
ATOMIC_SPECIES
Sr 87.62 Sr.upf
Br 79.90 Br.upf
CELL_PARAMETERS angstrom
4.499 0.000 0.000
-2.249 3.896 0.000
0.000 0.000 10.303
ATOMIC_POSITIONS crystal
Sr 0.333 0.667 0.169
Sr 0.667 0.333 0.831
Br 0.333 0.667 0.672
Br 0.667 0.333 0.328
```

***

[5]
## NbIn3Rh (GGA-PBE)

Data for NbIn3Rh after structural relaxation. Values from VASP.

Values from the calculation:
The volume comes out at 123.24 Å³/cell. Its energy above the most stable polymorph in this dataset is 0.0000 eV per atom. The calculation puts the energy of formation at 3.30 eV per formula unit.

Cell and atoms, written as Quantum ESPRESSO input:
```
&SYSTEM
  ibrav = 0, nat = 5, ntyp = 3
/
ATOMIC_SPECIES
Nb 92.91 Nb.upf
Rh 102.91 Rh.upf
In 114.82 In.upf
CELL_PARAMETERS angstrom
-4.127 -2.778 -0.102
1.822 -2.842 3.656
-2.099 2.995 3.375
ATOMIC_POSITIONS crystal
Nb 0.500 0.500 0.500
Rh 0.000 0.000 0.000
In 0.000 0.500 0.000
In 0.000 0.000 0.500
In 0.500 0.000 0.000
```

***

[6]
## La6Pr2Nd (GGA-PBE)

Data for La6Pr2Nd after structural relaxation. Values from VASP.

Values from the calculation:
The volume comes out at 655.72 Å³/cell. Its energy above the most stable polymorph in this dataset is 0.0000 eV per atom. The calculation puts the energy of formation at 0.10 eV per formula unit.

Cell and atoms, written as Quantum ESPRESSO input:
```
&SYSTEM
  ibrav = 0, nat = 18, ntyp = 3
/
ATOMIC_SPECIES
La 138.91 La.upf
Pr 140.91 Pr.upf
Nd 144.24 Nd.upf
CELL_PARAMETERS angstrom
-5.221 -6.187 1.869
7.423 0.399 -0.106
1.803 4.827 13.492
ATOMIC_POSITIONS crystal
La 0.222 0.306 0.445
La 0.554 0.639 0.111
La 0.778 0.694 0.555
La 0.446 0.361 0.889
La 0.445 0.862 0.889
La 0.889 0.473 0.777
La 0.555 0.138 0.111
La 0.111 0.527 0.223
La 0.000 0.749 0.000
La 0.221 0.805 0.445
La 0.000 0.251 0.000
La 0.779 0.195 0.555
Pr 0.109 0.026 0.223
Pr 0.666 0.416 0.334
Pr 0.891 0.974 0.777
Pr 0.334 0.584 0.666
Nd 0.667 0.917 0.334
Nd 0.333 0.083 0.666
```

***

[7]
## HfAg3Pd (GGA-PBE)

Data for HfAg3Pd after structural relaxation. Values from VASP.

Values from the calculation:
The volume comes out at 119.98 Å³/cell. Its energy above the most stable polymorph in this dataset is 0.0000 eV per atom. The calculation puts the energy of formation at 4.91 eV per formula unit.

Cell and atoms, written as Quantum ESPRESSO input:
```
&SYSTEM
  ibrav = 0, nat = 5, ntyp = 3
/
ATOMIC_SPECIES
Hf 178.49 Hf.upf
Pd 106.42 Pd.upf
Ag 107.87 Ag.upf
CELL_PARAMETERS angstrom
4.932 0.000 0.000
0.000 4.932 0.000
0.000 0.000 4.932
ATOMIC_POSITIONS crystal
Hf 0.500 0.500 0.500
Pd 0.000 0.000 0.000
Ag 0.000 0.500 0.000
Ag 0.000 0.000 0.500
Ag 0.500 0.000 0.000
```

***

[8]
## TbPr4Tm2Th (GGA-PBE)

Data for TbPr4Tm2Th after structural relaxation. Values from VASP.

Values from the calculation:
The volume comes out at 268.86 Å³/cell. The calculation puts the energy of formation at 0.33 eV per formula unit.

Cell and atoms, written as Quantum ESPRESSO input:
```
&SYSTEM
  ibrav = 0, nat = 8, ntyp = 4
/
ATOMIC_SPECIES
Tb 158.93 Tb.upf
Pr 140.91 Pr.upf
Tm 168.93 Tm.upf
Th 232.04 Th.upf
CELL_PARAMETERS angstrom
5.126 0.000 0.000
0.000 4.957 1.261
0.000 2.429 11.200
ATOMIC_POSITIONS crystal
Tb 0.500 0.500 0.000
Pr 0.000 0.751 0.749
Pr 0.000 0.249 0.251
Pr 0.500 0.748 0.252
Pr 0.500 0.252 0.748
Tm 0.000 0.000 0.000
Tm 0.500 0.000 0.500
Th 0.000 0.500 0.500
```

***

[9]
## Cs3DyPa3Se8 (GGA-PBE)

Data for Cs3DyPa3Se8 after structural relaxation. Values from VASP.

Values from the calculation:
As for the total energy: -0.4176 Ry per atom. The volume comes out at 524.36 Å³/cell.

Cell and atoms, written as Quantum ESPRESSO input:
```
&SYSTEM
  ibrav = 0, nat = 15, ntyp = 4
/
ATOMIC_SPECIES
Cs 132.91 Cs.upf
Dy 162.50 Dy.upf
Pa 231.04 Pa.upf
Se 78.96 Se.upf
CELL_PARAMETERS angstrom
8.371 0.000 0.000
-4.186 7.252 -0.030
0.000 -4.801 8.657
ATOMIC_POSITIONS crystal
Cs 0.000 0.000 0.000
Cs 0.000 0.500 0.000
Cs 0.500 0.500 0.000
Dy 0.000 0.000 0.500
Pa 0.500 0.000 0.500
Pa 0.500 0.500 0.500
Pa 0.000 0.500 0.500
Se 0.270 0.540 0.309
Se 0.730 0.460 0.691
Se 0.771 0.542 0.314
Se 0.229 0.458 0.686
Se 0.771 0.042 0.314
Se 0.229 0.958 0.686
Se 0.272 0.042 0.314
Se 0.728 0.958 0.686
```

***

[10]
## ScTe2Pt (GGA-PBE)

Data for ScTe2Pt after structural relaxation. Values from VASP.

Values from the calculation:
As for the total energy: -0.3956 Ry per atom. The volume comes out at 112.61 Å³/cell.

Cell and atoms, written as Quantum ESPRESSO input:
```
&SYSTEM
  ibrav = 0, nat = 4, ntyp = 3
/
ATOMIC_SPECIES
Pt 195.08 Pt.upf
Sc 44.96 Sc.upf
Te 127.60 Te.upf
CELL_PARAMETERS angstrom
-0.751 -5.158 -6.359
4.438 -4.829 -4.959
-2.247 2.934 7.346
ATOMIC_POSITIONS crystal
Pt 0.456 0.456 0.000
Sc 0.318 0.818 0.500
Te 0.988 0.988 0.000
Te 0.737 0.237 0.500
```

***

[11]
## Tb2Si4Pd3Au (GGA-PBE)

Data for Tb2Si4Pd3Au after structural relaxation. Values from VASP.

Values from the calculation:
As for the total energy: -0.4262 Ry per atom. The volume comes out at 177.13 Å³/cell.

Cell and atoms, written as Quantum ESPRESSO input:
```
&SYSTEM
  ibrav = 0, nat = 10, ntyp = 4
/
ATOMIC_SPECIES
Tb 158.93 Tb.upf
Si 28.09 Si.upf
Pd 106.42 Pd.upf
Au 196.97 Au.upf
CELL_PARAMETERS angstrom
4.205 0.000 0.000
0.000 4.205 0.000
0.000 0.000 10.015
ATOMIC_POSITIONS crystal
Tb 0.500 0.000 0.245
Tb 0.000 0.500 0.755
Si 0.500 0.500 0.000
Si 0.000 0.000 0.000
Si 0.500 0.000 0.640
Si 0.000 0.500 0.360
Pd 0.000 0.000 0.500
Pd 0.500 0.000 0.879
Pd 0.000 0.500 0.121
Au 0.500 0.500 0.500
```

***

[12]
## Nb2TlCl8 (GGA-PBE)

Data for Nb2TlCl8 after structural relaxation. Values from VASP.

Values from the calculation:
As for the total energy: -0.3313 Ry per atom. The volume comes out at 353.70 Å³/cell.

Cell and atoms, written as Quantum ESPRESSO input:
```
&SYSTEM
  ibrav = 0, nat = 11, ntyp = 3
/
ATOMIC_SPECIES
Nb 92.91 Nb.upf
Tl 204.38 Tl.upf
Cl 35.45 Cl.upf
CELL_PARAMETERS angstrom
-1.991 6.072 5.497
-0.902 -6.440 2.974
5.974 -3.350 2.053
ATOMIC_POSITIONS crystal
Nb 0.508 0.251 0.251
Nb 0.492 0.749 0.749
Tl 0.000 0.000 0.000
Cl 0.619 0.147 0.653
Cl 0.381 0.347 0.853
Cl 0.767 0.220 0.220
Cl 0.233 0.780 0.780
Cl 0.619 0.653 0.147
Cl 0.381 0.853 0.347
Cl 0.245 0.283 0.283
Cl 0.755 0.717 0.717
```

***

[13]
## Ba3ScPa2O9 (GGA-PBE)

Data for Ba3ScPa2O9 after structural relaxation. Values from VASP.

Values from the calculation:
As for the total energy: -0.6125 Ry per atom. The volume comes out at 252.25 Å³/cell.

Cell and atoms, written as Quantum ESPRESSO input:
```
&SYSTEM
  ibrav = 0, nat = 15, ntyp = 4
/
ATOMIC_SPECIES
Ba 137.33 Ba.upf
Sc 44.96 Sc.upf
Pa 231.04 Pa.upf
O 16.00 O.upf
CELL_PARAMETERS angstrom
-1.262 3.547 -4.907
-0.741 -6.130 -0.343
-7.195 0.736 2.383
ATOMIC_POSITIONS crystal
Ba 0.333 0.667 0.654
Ba 0.000 0.000 0.000
Ba 0.667 0.333 0.346
Sc 0.000 0.000 0.500
Pa 0.333 0.667 0.177
Pa 0.667 0.333 0.823
O 0.836 0.164 0.661
O 0.836 0.672 0.661
O 0.328 0.164 0.661
O 0.672 0.836 0.339
O 0.164 0.328 0.339
O 0.164 0.836 0.339
O 0.500 0.000 0.000
O 0.000 0.500 0.000
O 0.500 0.500 0.000
```

***

[14]
## Ir2SeO (GGA-PBE)

Data for Ir2SeO after structural relaxation. Values from VASP.

Values from the calculation:
The volume comes out at 131.78 Å³/cell. Its energy above the most stable polymorph in this dataset is 0.0000 eV per atom.

Cell and atoms, written as Quantum ESPRESSO input:
```
&SYSTEM
  ibrav = 0, nat = 8, ntyp = 3
/
ATOMIC_SPECIES
Ir 192.22 Ir.upf
O 16.00 O.upf
Se 78.96 Se.upf
CELL_PARAMETERS angstrom
4.551 0.000 0.000
0.000 4.551 0.000
2.275 2.275 6.364
ATOMIC_POSITIONS crystal
Ir 0.516 0.125 0.250
Ir 0.234 0.625 0.250
Ir 0.375 0.484 0.750
Ir 0.875 0.766 0.750
O 0.500 0.500 0.000
O 0.250 0.750 0.500
Se 0.000 0.000 0.000
Se 0.750 0.250 0.500
```

***

[15]
## LiSiBr (GGA-PBE)

Data for LiSiBr after structural relaxation. Values from VASP.

Values from the calculation:
The volume comes out at 151.64 Å³/cell. Its energy above the most stable polymorph in this dataset is 0.0000 eV per atom.

Cell and atoms, written as Quantum ESPRESSO input:
```
&SYSTEM
  ibrav = 0, nat = 6, ntyp = 3
/
ATOMIC_SPECIES
Br 79.90 Br.upf
Li 6.94 Li.upf
Si 28.09 Si.upf
CELL_PARAMETERS angstrom
-0.793 2.587 2.287
-1.024 -2.418 2.379
11.243 -0.440 4.394
ATOMIC_POSITIONS crystal
Br 0.000 0.500 0.630
Br 0.500 0.000 0.370
Li 0.500 0.000 0.591
Li 0.000 0.500 0.409
Si 0.000 0.500 0.998
Si 0.500 0.000 0.002
```

***

[16]
## Tb2NdNi (GGA-PBE)

Data for Tb2NdNi after structural relaxation. Values from VASP.

Values from the calculation:
The volume comes out at 213.71 Å³/cell. Its energy above the most stable polymorph in this dataset is 0.0300 eV per atom. The calculation puts the energy of formation at -0.74 eV per formula unit.

Cell and atoms, written as Quantum ESPRESSO input:
```
&SYSTEM
  ibrav = 0, nat = 8, ntyp = 3
/
ATOMIC_SPECIES
Tb 158.93 Tb.upf
Nd 144.24 Nd.upf
Ni 58.69 Ni.upf
CELL_PARAMETERS angstrom
4.859 0.002 0.000
-2.429 5.975 0.000
0.000 0.000 7.359
ATOMIC_POSITIONS crystal
Tb 0.346 0.692 0.529
Tb 0.654 0.308 0.471
Tb 0.346 0.692 0.971
Tb 0.654 0.308 0.029
Nd 0.963 0.926 0.250
Nd 0.037 0.074 0.750
Ni 0.805 0.610 0.750
Ni 0.195 0.390 0.250
```

***

[17]
## Y3BiAs (GGA-PBE)

Data for Y3BiAs after structural relaxation. Values from VASP.

Values from the calculation:
The volume comes out at 560.02 Å³/cell. The calculation puts the energy of formation at -4.93 eV per formula unit.

Cell and atoms, written as Quantum ESPRESSO input:
```
&SYSTEM
  ibrav = 0, nat = 20, ntyp = 3
/
ATOMIC_SPECIES
Y 88.91 Y.upf
Bi 208.98 Bi.upf
As 74.92 As.upf
CELL_PARAMETERS angstrom
4.290 0.000 0.000
0.000 8.489 0.000
0.000 0.000 15.377
ATOMIC_POSITIONS crystal
Y 0.250 0.342 0.530
Y 0.750 0.817 0.217
Y 0.750 0.521 0.891
Y 0.750 0.021 0.609
Y 0.750 0.658 0.470
Y 0.250 0.979 0.391
Y 0.250 0.842 0.970
Y 0.750 0.317 0.283
Y 0.250 0.683 0.717
Y 0.250 0.183 0.783
Y 0.750 0.158 0.030
Y 0.250 0.479 0.109
Bi 0.750 0.903 0.815
Bi 0.250 0.097 0.185
Bi 0.750 0.403 0.685
Bi 0.250 0.597 0.315
As 0.250 0.315 0.947
As 0.250 0.815 0.553
As 0.750 0.185 0.447
As 0.750 0.685 0.053
```

***

[18]
## Sr4GaH2 (GGA-PBE)

Data for Sr4GaH2 after structural relaxation. Values from VASP.

Values from the calculation:
As for the total energy: -0.1769 Ry per atom. The volume comes out at 245.00 Å³/cell.

Cell and atoms, written as Quantum ESPRESSO input:
```
&SYSTEM
  ibrav = 0, nat = 7, ntyp = 3
/
ATOMIC_SPECIES
Sr 87.62 Sr.upf
Ga 69.72 Ga.upf
H 1.01 H.upf
CELL_PARAMETERS angstrom
-0.902 -5.965 -0.456
0.090 -0.475 6.031
-7.023 -2.233 2.964
ATOMIC_POSITIONS crystal
Sr 0.758 0.758 0.484
Sr 0.242 0.242 0.516
Sr 0.000 0.500 0.000
Sr 0.500 0.000 0.000
Ga 0.000 0.000 0.000
H 0.585 0.585 0.831
H 0.415 0.415 0.169
```

***

[19]
## CaTb2Er (GGA-PBE)

Data for CaTb2Er after structural relaxation. Values from VASP.

Values from the calculation:
The volume comes out at 136.14 Å³/cell. Its energy above the most stable polymorph in this dataset is 0.0945 eV per atom. The calculation puts the energy of formation at 0.62 eV per formula unit.

Cell and atoms, written as Quantum ESPRESSO input:
```
&SYSTEM
  ibrav = 0, nat = 4, ntyp = 3
/
ATOMIC_SPECIES
Ca 40.08 Ca.upf
Tb 158.93 Tb.upf
Er 167.26 Er.upf
CELL_PARAMETERS angstrom
3.538 0.000 0.000
1.769 3.064 0.000
1.769 1.021 12.558
ATOMIC_POSITIONS crystal
Ca 0.000 0.000 0.000
Tb 0.092 0.092 0.725
Tb 0.908 0.908 0.275
Er 0.500 0.500 0.500
```

***

[20]
## NaTcCl2 (GGA-PBE)

Data for NaTcCl2 after structural relaxation. Values from VASP.

Values from the calculation:
The volume comes out at 67.77 Å³/cell. Its energy above the most stable polymorph in this dataset is 0.4514 eV per atom.

Cell and atoms, written as Quantum ESPRESSO input:
```
&SYSTEM
  ibrav = 0, nat = 4, ntyp = 3
/
ATOMIC_SPECIES
Na 22.99 Na.upf
Tc 98.00 Tc.upf
Cl 35.45 Cl.upf
CELL_PARAMETERS angstrom
0.000 3.236 3.236
3.236 0.000 3.236
3.236 3.236 0.000
ATOMIC_POSITIONS crystal
Na 0.000 0.000 0.000
Tc 0.500 0.500 0.500
Cl 0.250 0.250 0.250
Cl 0.750 0.750 0.750
```